(1)
The following is a DFT calculation (PBE) of a relaxed TaAlCuHg crystal.

Results
- DFT total energy (eV/cell) = -17.80
- SG = F-43m (216)

Cell: 4.570 4.570 4.570 Å, 60.00 60.00 60.00°
Positions (direct):
Al (0.000, 0.000, 0.000)
Cu (0.750, 0.750, 0.750)
Hg (0.250, 0.250, 0.250)
Ta (0.500, 0.500, 0.500)

=====

(2)
The following is a DFT calculation (PBE) of a relaxed YAlCuHg crystal.

Results
- DFT total energy (eV/cell) = -15.34
- SG = F-43m (216)

Cell: 4.803 4.803 4.803 Å, 60.00 60.00 60.00°
Positions (direct):
Al (0.000, 0.000, 0.000)
Cu (0.750, 0.750, 0.750)
Hg (0.250, 0.250, 0.250)
Y (0.500, 0.500, 0.500)

=====

(3)
The following is a DFT calculation (PBE) of a relaxed YAlCuHg crystal.

Results
- DFT total energy (eV/cell) = -14.87
- SG = F-43m (216)

Cell: 4.815 4.815 4.815 Å, 60.00 60.00 60.00°
Positions (direct):
Al (0.000, 0.000, 0.000)
Cu (0.750, 0.750, 0.750)
Hg (0.500, 0.500, 0.500)
Y (0.250, 0.250, 0.250)

=====

(4)
The following is a DFT calculation (PBE) of a relaxed HoAl6Cu crystal.

Results
- DFT total energy (eV/cell) = -31.53
- SG = P-6m2 (187)

Cell: 6.000 6.000 4.567 Å, 90.00 90.00 120.00°
Positions (direct):
Al (0.514, 0.027, 0.000)
Al (0.514, 0.486, 0.000)
Al (0.973, 0.486, 0.000)
Al (0.325, 0.163, 0.500)
Al (0.837, 0.163, 0.500)
Al (0.837, 0.675, 0.500)
Cu (0.000, 0.000, 0.000)
Ho (0.333, 0.667, 0.500)

=====

(5)
The following is a DFT calculation (PBE) of a relaxed Ho3Al2InCu2Ni crystal.

Results
- DFT total energy (eV/cell) = -41.35
- SG = Amm2 (38)

Cell: 3.940 7.092 7.092 Å, 119.07 90.00 90.00°
Positions (direct):
Al (0.500, 0.237, 0.002)
Al (0.500, 0.002, 0.237)
Cu (0.500, 0.666, 0.325)
Cu (0.500, 0.325, 0.666)
Ho (0.000, 0.586, 0.004)
Ho (0.000, 0.404, 0.404)
Ho (0.000, 0.004, 0.586)
In (0.500, 0.756, 0.756)
Ni (0.000, 0.019, 0.019)

=====

(6)
The following is a DFT calculation (PBE) of a relaxed Ho2LuAl7Cu2 crystal.

Results
- DFT total energy (eV/cell) = -52.88
- SG = R-3m (166)

Cell: 8.992 8.992 8.992 Å, 35.34 35.34 35.34°
Positions (direct):
Al (0.582, 0.582, 0.073)
Al (0.927, 0.418, 0.418)
Al (0.418, 0.927, 0.418)
Al (0.500, 0.500, 0.500)
Al (0.582, 0.073, 0.582)
Al (0.073, 0.582, 0.582)
Al (0.418, 0.418, 0.927)
Cu (0.335, 0.335, 0.335)
Cu (0.665, 0.665, 0.665)
Ho (0.142, 0.142, 0.142)
Ho (0.858, 0.858, 0.858)
Lu (0.000, 0.000, 0.000)

=====

Question: What is the formula in the second record?
Answer: YAlCuHg

=====

Copy entry 5 word for word.
The following is a DFT calculation (PBE) of a relaxed Ho3Al2InCu2Ni crystal.

Results
- DFT total energy (eV/cell) = -41.35
- SG = Amm2 (38)

Cell: 3.940 7.092 7.092 Å, 119.07 90.00 90.00°
Positions (direct):
Al (0.500, 0.237, 0.002)
Al (0.500, 0.002, 0.237)
Cu (0.500, 0.666, 0.325)
Cu (0.500, 0.325, 0.666)
Ho (0.000, 0.586, 0.004)
Ho (0.000, 0.404, 0.404)
Ho (0.000, 0.004, 0.586)
In (0.500, 0.756, 0.756)
Ni (0.000, 0.019, 0.019)

=====

Question: Which of these has the lowest DFT total energy?
Answer: Ho2LuAl7Cu2